Pr2SmC2Br2 GGA-PBE relaxed; uncorrected formation energy = -0.57 eV per atom; SG = I4/mmm (139)
1.0
-2.3240 2.3240 7.8233
2.3240 -2.3240 7.8233
2.3240 2.3240 -7.8233
Pr Sm C Br
2 1 2 2
Direct
0.1009 0.1009 0.0000
0.8991 0.8991 0.0000
0.5000 0.5000 0.0000
0.0000 0.5000 0.5000
0.5000 0.0000 0.5000
0.3072 0.3072 0.0000
0.6928 0.6928 0.0000